No. 1
VASP calculation (PBE) on CaPmCu after structural relaxation.

abc: 4.823 4.823 4.142
angles: 90.00 90.00 120.00
Sites, in units of the cell vectors:
Ca1 0.000 0.000 0.000
Pm1 0.333 0.667 0.519
Cu1 0.667 0.333 0.279

Output
Symmetry ... P3m1, No. 156
DFT formation energy ... 146 meV per atom
VASP energy ... -3.471 eV per atom

No. 2
VASP calculation (PBE) on CaPm2Cu after structural relaxation.

abc: 10.565 10.565 10.565
angles: 20.51 20.51 20.51
Sites, in units of the cell vectors:
Ca1 0.000 0.000 0.000
Pm1 0.230 0.230 0.230
Pm2 0.770 0.770 0.770
Cu1 0.500 0.500 0.500

Output
Symmetry ... R-3m, No. 166
DFT formation energy ... 78 meV per atom
VASP energy ... -3.822 eV per atom

No. 3
VASP calculation (PBE) on CaPm2Cu after structural relaxation.

abc: 10.577 10.577 10.577
angles: 20.53 20.53 20.53
Sites, in units of the cell vectors:
Ca1 0.000 0.000 0.000
Pm1 0.229 0.229 0.229
Pm2 0.437 0.437 0.437
Cu1 0.833 0.833 0.833

Output
Symmetry ... R3m, No. 160
DFT formation energy ... 89 meV per atom
VASP energy ... -3.811 eV per atom

No. 4
VASP calculation (PBE) on Ca2PmCu after structural relaxation.

abc: 11.243 11.243 11.243
angles: 18.99 18.99 18.99
Sites, in units of the cell vectors:
Ca1 0.108 0.108 0.108
Ca2 0.892 0.892 0.892
Pm1 0.000 0.000 0.000
Cu1 0.500 0.500 0.500

Output
Symmetry ... R-3m, No. 166
DFT formation energy ... 229 meV per atom
VASP energy ... -2.984 eV per atom

No. 5
VASP calculation (PBE) on CaPm2Cu3 after structural relaxation.

abc: 3.556 3.556 10.807
angles: 90.00 90.00 90.00
Sites, in units of the cell vectors:
Ca1 0.000 0.000 0.000
Pm1 0.000 0.000 0.332
Pm2 0.000 0.000 0.668
Cu1 0.500 0.500 0.179
Cu2 0.500 0.500 0.500
Cu3 0.500 0.500 0.821

Output
Symmetry ... P4/mmm, No. 123
DFT formation energy ... -138 meV per atom
VASP energy ... -4.103 eV per atom

No. 6
VASP calculation (PBE) on CaPmCu after structural relaxation.

abc: 8.086 7.511 9.027
angles: 57.67 51.72 70.61
Sites, in units of the cell vectors:
Ca1 0.278 0.722 0.466
Ca2 0.716 0.784 0.528
Ca3 0.722 0.278 0.534
Ca4 0.784 0.716 0.972
Pm1 0.229 0.441 0.012
Pm2 0.238 0.932 0.021
Pm3 0.441 0.229 0.318
Pm4 0.932 0.238 0.809
Cu1 0.096 0.519 0.368
Cu2 0.232 0.882 0.731
Cu3 0.519 0.096 0.018
Cu4 0.882 0.232 0.154

Output
Symmetry ... Fdd2, No. 43
DFT formation energy ... -6 meV per atom
VASP energy ... -3.622 eV per atom

No. 7
VASP calculation (PBE) on CaPm3Cu8 after structural relaxation.

abc: 9.197 9.197 9.197
angles: 33.84 33.84 33.84
Sites, in units of the cell vectors:
Ca1 0.000 0.000 0.000
Pm1 0.371 0.371 0.371
Pm2 0.496 0.496 0.496
Pm3 0.875 0.875 0.875
Cu1 0.186 0.186 0.186
Cu2 0.436 0.936 0.936
Cu3 0.438 0.438 0.930
Cu4 0.438 0.930 0.438
Cu5 0.685 0.685 0.685
Cu6 0.930 0.438 0.438
Cu7 0.936 0.436 0.936
Cu8 0.936 0.936 0.436

Output
Symmetry ... R3m, No. 160
DFT formation energy ... -102 meV per atom
VASP energy ... -4.187 eV per atom

No. 8
VASP calculation (PBE) on Ca2PmCu after structural relaxation.

abc: 6.629 6.629 10.370
angles: 90.00 90.00 146.73
Sites, in units of the cell vectors:
Ca1 0.138 0.862 0.567
Ca2 0.138 0.862 0.933
Ca3 0.862 0.138 0.067
Ca4 0.862 0.138 0.433
Pm1 0.418 0.582 0.750
Pm2 0.582 0.418 0.250
Cu1 0.249 0.751 0.250
Cu2 0.751 0.249 0.750

Output
Symmetry ... Cmcm, No. 63
DFT formation energy ... -13 meV per atom
VASP energy ... -3.225 eV per atom

No. 9
VASP calculation (PBE) on CaPm3Cu after structural relaxation.

abc: 5.599 5.599 5.599
angles: 90.00 90.00 90.00
Sites, in units of the cell vectors:
Ca1 0.000 0.000 0.000
Pm1 0.000 0.500 0.500
Pm2 0.500 0.000 0.500
Pm3 0.500 0.500 0.000
Cu1 0.500 0.500 0.500

Output
Symmetry ... Pm-3m, No. 221
DFT formation energy ... 141 meV per atom
VASP energy ... -3.929 eV per atom

No. 10
VASP calculation (PBE) on Ca2PmCu6 after structural relaxation.

abc: 7.370 7.370 3.777
angles: 90.00 90.00 120.00
Sites, in units of the cell vectors:
Ca1 0.333 0.667 0.000
Ca2 0.667 0.333 0.000
Pm1 0.000 0.000 0.000
Cu1 0.000 0.332 0.500
Cu2 0.000 0.668 0.500
Cu3 0.332 0.000 0.500
Cu4 0.332 0.332 0.500
Cu5 0.668 0.000 0.500
Cu6 0.668 0.668 0.500

Output
Symmetry ... P6/mmm, No. 191
DFT formation energy ... -141 meV per atom
VASP energy ... -3.845 eV per atom

No. 11
VASP calculation (PBE) on CaPmCu4 after structural relaxation.

abc: 5.699 5.699 5.699
angles: 136.55 98.95 96.80
Sites, in units of the cell vectors:
Ca1 0.000 0.000 0.000
Pm1 0.500 0.500 0.000
Cu1 0.091 0.756 0.334
Cu2 0.422 0.756 0.666
Cu3 0.578 0.244 0.334
Cu4 0.909 0.244 0.666

Output
Symmetry ... Immm, No. 71
DFT formation energy ... -165 meV per atom
VASP energy ... -4.021 eV per atom

No. 12
VASP calculation (PBE) on CaPmCu3 after structural relaxation.

abc: 12.957 12.957 4.305
angles: 90.00 90.00 162.81
Sites, in units of the cell vectors:
Ca1 0.203 0.797 0.750
Ca2 0.797 0.203 0.250
Pm1 0.070 0.930 0.250
Pm2 0.930 0.070 0.750
Cu1 0.334 0.666 0.750
Cu2 0.383 0.617 0.250
Cu3 0.477 0.523 0.250
Cu4 0.523 0.477 0.750
Cu5 0.617 0.383 0.750
Cu6 0.666 0.334 0.250

Output
Symmetry ... Cmcm, No. 63
DFT formation energy ... -181 meV per atom
VASP energy ... -3.989 eV per atom

No. 13
VASP calculation (PBE) on CaPmCuPt after structural relaxation.

abc: 5.011 5.011 5.011
angles: 60.00 60.00 60.00
Sites, in units of the cell vectors:
Ca1 0.000 0.000 0.000
Pm1 0.500 0.500 0.500
Cu1 0.750 0.750 0.750
Pt1 0.250 0.250 0.250

Output
Symmetry ... F-43m, No. 216
DFT formation energy ... -596 meV per atom
VASP energy ... -4.818 eV per atom

No. 14
VASP calculation (PBE) on CaPmCuPt after structural relaxation.

abc: 4.319 5.820 5.820
angles: 40.37 90.00 90.00
Sites, in units of the cell vectors:
Ca1 0.000 0.000 0.000
Pm1 0.500 0.721 0.721
Cu1 0.500 0.427 0.427
Pt1 0.000 0.282 0.282

Output
Symmetry ... Amm2, No. 38
DFT formation energy ... -658 meV per atom
VASP energy ... -4.880 eV per atom

No. 15
VASP calculation (PBE) on CaPmCuRh after structural relaxation.

abc: 4.964 4.964 4.964
angles: 60.00 60.00 60.00
Sites, in units of the cell vectors:
Ca1 0.000 0.000 0.000
Pm1 0.500 0.500 0.500
Cu1 0.250 0.250 0.250
Rh1 0.750 0.750 0.750

Output
Symmetry ... F-43m, No. 216
DFT formation energy ... -352 meV per atom
VASP energy ... -4.902 eV per atom

No. 16
VASP calculation (PBE) on CaPmCuRh after structural relaxation.

abc: 4.175 5.885 5.885
angles: 39.55 90.00 90.00
Sites, in units of the cell vectors:
Ca1 0.000 0.000 0.000
Pm1 0.500 0.281 0.281
Cu1 0.500 0.573 0.573
Rh1 0.000 0.718 0.718

Output
Symmetry ... Amm2, No. 38
DFT formation energy ... -421 meV per atom
VASP energy ... -4.971 eV per atom

No. 17
VASP calculation (PBE) on CaPmCuRu after structural relaxation.

abc: 4.945 4.945 4.945
angles: 60.00 60.00 60.00
Sites, in units of the cell vectors:
Ca1 0.000 0.000 0.000
Pm1 0.500 0.500 0.500
Cu1 0.250 0.250 0.250
Ru1 0.750 0.750 0.750

Output
Symmetry ... F-43m, No. 216
DFT formation energy ... -26 meV per atom
VASP energy ... -5.057 eV per atom

No. 18
VASP calculation (PBE) on CaPmCu2S4 after structural relaxation.

abc: 5.976 5.976 5.976
angles: 112.88 112.88 102.85
Sites, in units of the cell vectors:
Ca1 0.000 0.000 0.000
Pm1 0.500 0.500 0.000
Cu1 0.250 0.750 0.500
Cu2 0.750 0.250 0.500
S1 0.020 0.482 0.000
S2 0.482 0.020 0.000
S3 0.518 0.518 0.538
S4 0.980 0.980 0.462

Output
Formation energy without anion corrections ... -1.140 eV/atom
Symmetry ... I-42m, No. 121
VASP energy ... -5.072 eV per atom

No. 19
VASP calculation (PBE) on Ca2PmCu2S4 after structural relaxation.

abc: 7.420 7.420 7.085
angles: 109.45 109.45 29.64
Sites, in units of the cell vectors:
Ca1 0.135 0.135 0.079
Ca2 0.865 0.865 0.921
Pm1 0.000 0.000 0.500
Cu1 0.314 0.314 0.484
Cu2 0.686 0.686 0.516
S1 0.207 0.207 0.733
S2 0.462 0.462 0.760
S3 0.538 0.538 0.240
S4 0.793 0.793 0.267

Output
Formation energy without anion corrections ... -1.327 eV/atom
Symmetry ... C2/m, No. 12
VASP energy ... -5.045 eV per atom

No. 20
VASP calculation (PBE) on CaPmCu2Sb2 after structural relaxation.

abc: 4.430 4.430 8.336
angles: 90.00 90.00 120.00
Sites, in units of the cell vectors:
Ca1 0.000 0.000 0.000
Pm1 0.000 0.000 0.500
Cu1 0.333 0.667 0.722
Cu2 0.667 0.333 0.278
Sb1 0.333 0.667 0.247
Sb2 0.667 0.333 0.753

Output
Formation energy without anion corrections ... -0.706 eV/atom
Symmetry ... P-3m1, No. 164
VASP energy ... -4.571 eV per atom